# SmPdPb

An optimized crystal structure of SmPdPb (GGA-PBE, OQMD via LeMat-Bulk).

- final energy (eV per atom) = -5.135

a = 7.460 Å, b = 7.460 Å, c = 4.513 Å
α = 90.00°, β = 90.00°, γ = 120.00°
Sites, in units of the cell vectors:
Pb1 0.333 0.667 0.000
Pb2 0.000 0.000 0.500
Pb3 0.667 0.333 0.000
Pd1 0.758 0.758 0.000
Pd2 0.000 0.242 0.000
Pd3 0.242 0.000 0.000
Sm1 0.575 0.000 0.500
Sm2 0.000 0.575 0.500
Sm3 0.425 0.425 0.500

***

# SmPdPb

An optimized crystal structure of SmPdPb (GGA-PBE, OQMD via LeMat-Bulk).

- final energy (eV per atom) = -5.195

a = 8.188 Å, b = 8.188 Å, c = 3.717 Å
α = 90.00°, β = 90.00°, γ = 120.00°
Sites, in units of the cell vectors:
Sm1 0.000 0.664 0.500
Sm2 0.336 0.336 0.500
Sm3 0.664 0.000 0.500
Pb1 0.669 0.669 0.000
Pb2 0.331 0.000 0.000
Pb3 0.000 0.331 0.000
Pd1 0.000 0.000 0.000
Pd2 0.667 0.333 0.000
Pd3 0.333 0.667 0.000

***

# SmPdPb

An optimized crystal structure of SmPdPb (GGA-PBE, OQMD via LeMat-Bulk).

- final energy (eV per atom) = -5.258

a = 7.688 Å, b = 7.688 Å, c = 4.135 Å
α = 90.00°, β = 90.00°, γ = 120.00°
Sites, in units of the cell vectors:
Pb1 0.742 0.742 0.000
Pb2 0.258 0.000 0.000
Pb3 0.000 0.258 0.000
Sm1 0.410 0.410 0.500
Sm2 0.000 0.590 0.500
Sm3 0.590 0.000 0.500
Pd1 0.333 0.667 0.000
Pd2 0.667 0.333 0.000
Pd3 0.000 0.000 0.500

***

# TbSmPd2Pb

An optimized crystal structure of TbSmPd2Pb (GGA-PBE, OQMD via LeMat-Bulk).

- final energy (eV per atom) = -5.481

a = 3.676 Å, b = 7.819 Å, c = 7.819 Å
α = 31.71°, β = 90.00°, γ = 90.00°
Sites, in units of the cell vectors:
Tb1 0.500 0.635 0.635
Pb1 0.000 0.001 0.001
Sm1 0.500 0.366 0.366
Pd1 0.000 0.191 0.191
Pd2 0.000 0.806 0.806

***

# SnPdPb

An optimized crystal structure of SnPdPb (GGA-PBE, OQMD via LeMat-Bulk).

- final energy (eV per atom) = -4.562

a = 4.728 Å, b = 4.728 Å, c = 4.728 Å
α = 60.00°, β = 60.00°, γ = 60.00°
Sites, in units of the cell vectors:
Pd1 0.250 0.250 0.250
Sn1 0.000 0.000 0.000
Pb1 0.500 0.500 0.500

***

# SnPd4Pb3

An optimized crystal structure of SnPd4Pb3 (GGA-PBE, OQMD via LeMat-Bulk).

- final energy (eV per atom) = -4.803

a = 6.429 Å, b = 4.063 Å, c = 6.489 Å
α = 90.00°, β = 90.06°, γ = 90.00°
Sites, in units of the cell vectors:
Pb1 0.807 0.500 0.898
Pb2 0.691 0.000 0.403
Pb3 0.186 0.000 0.101
Pd1 0.028 0.000 0.677
Pd2 0.499 0.000 0.809
Pd3 0.993 0.500 0.327
Pd4 0.483 0.500 0.188
Sn1 0.312 0.500 0.596

***

# Sr2Pd3Pb2

An optimized crystal structure of Sr2Pd3Pb2 (GGA-PBE, OQMD via LeMat-Bulk).

- final energy (eV per atom) = -4.227

a = 8.644 Å, b = 8.644 Å, c = 8.644 Å
α = 33.66°, β = 33.66°, γ = 33.66°
Sites, in units of the cell vectors:
Sr1 0.246 0.246 0.246
Sr2 0.754 0.754 0.754
Pd1 0.370 0.370 0.370
Pd2 0.625 0.625 0.625
Pd3 0.879 0.879 0.879
Pb1 0.999 0.999 0.999
Pb2 0.503 0.503 0.503

***

# Sr2PdPb

An optimized crystal structure of Sr2PdPb (GGA-PBE, OQMD via LeMat-Bulk).

- final energy (eV per atom) = -3.586

a = 4.506 Å, b = 6.322 Å, c = 6.322 Å
α = 46.52°, β = 90.00°, γ = 90.00°
Sites, in units of the cell vectors:
Sr1 0.500 0.352 0.352
Sr2 0.000 0.637 0.637
Pb1 0.000 0.935 0.935
Pd1 0.500 0.076 0.076

***

# Sr2TlPd4Pb

An optimized crystal structure of Sr2TlPd4Pb (GGA-PBE, OQMD via LeMat-Bulk).

- final energy (eV per atom) = -4.276

a = 4.763 Å, b = 4.763 Å, c = 9.500 Å
α = 90.00°, β = 90.00°, γ = 120.00°
Sites, in units of the cell vectors:
Pb1 0.000 0.000 0.000
Sr1 0.333 0.667 0.749
Sr2 0.667 0.333 0.251
Pd1 0.333 0.667 0.426
Pd2 0.667 0.333 0.574
Pd3 0.667 0.333 0.925
Pd4 0.333 0.667 0.075
Tl1 0.000 0.000 0.500

***

# TaPdPb

An optimized crystal structure of TaPdPb (GGA-PBE, OQMD via LeMat-Bulk).

- final energy (eV per atom) = -6.715

a = 5.918 Å, b = 4.687 Å, c = 8.232 Å
α = 90.00°, β = 90.00°, γ = 90.00°
Sites, in units of the cell vectors:
Ta1 0.488 0.750 0.248
Ta2 0.988 0.750 0.252
Ta3 0.512 0.250 0.752
Ta4 0.012 0.250 0.748
Pb1 0.221 0.250 0.083
Pb2 0.721 0.250 0.417
Pb3 0.279 0.750 0.583
Pb4 0.779 0.750 0.917
Pd1 0.296 0.750 0.917
Pd2 0.704 0.250 0.083
Pd3 0.796 0.750 0.583
Pd4 0.204 0.250 0.417